No. 1
First-principles (PBE) data for SrAc2In2 after structural relaxation, as listed in the Alexandria database.

The energy relative to the elements is -1.3 eV/f.u. As for the energy above the most stable polymorph in this dataset: 88 meV per atom.

The space group is C2/c (No. 15) and the conventional cell measures 13.976, 6.973 and 8.899 Å, with angles of 90.00, 119.08 and 90.00 degrees. The distinct sites, in fractional coordinates, are Sr at (0.000, 0.135, 0.250), Ac at (0.235, 0.482, 0.835) and In at (0.035, 0.324, 0.936).

***

No. 2
First-principles (PBE) data for Ca2PmSb3Rh4 after structural relaxation, as listed in the Alexandria database.

The raw formation energy comes out at -742 meV/atom.

The space group is P-4m2 (No. 115) and the conventional cell measures 4.419, 4.419 and 11.497 Å, with angles of 90.00, 90.00 and 90.00 degrees. The distinct sites, in fractional coordinates, are Ca at (0.000, 0.500, 0.228), Pm at (0.000, 0.000, 0.500), Sb at (0.000, 0.500, 0.872), Sb at (0.500, 0.500, 0.500), Rh at (0.000, 0.000, 0.000), Rh at (0.000, 0.500, 0.650) and Rh at (0.500, 0.500, 0.000).

***

No. 3
First-principles (PBE) data for Ca2ScIO6 after structural relaxation, as listed in the Alexandria database.

The raw formation energy comes out at -2207 meV/atom.

The space group is R3 (No. 146, hexagonal axes) and the conventional cell measures 5.6919, 5.6919 and 14.6049 Å, with angles of 90.00, 90.00 and 120.00 degrees. The distinct sites, in fractional coordinates, are Ca at (0.0000, 0.0000, 0.0000), Ca at (0.0000, 0.0000, 0.4984), Sc at (0.0000, 0.0000, 0.7244), I at (0.0000, 0.0000, 0.2204), O at (0.0692, 0.7226, 0.7904) and O at (0.0717, 0.3425, 0.2904).

***

No. 4
First-principles (PBE) data for Al6VCo after structural relaxation, as listed in the Alexandria database.

The energy relative to the elements is -0.8 eV/f.u.

The space group is R-3m (No. 166, hexagonal axes) and the conventional cell measures 8.3404, 8.3404 and 6.4999 Å, with angles of 90.00, 90.00 and 120.00 degrees. The distinct sites, in fractional coordinates, are Al at (0.0443, 0.5221, 0.3080), V at (0.0000, 0.0000, 0.0000) and Co at (0.0000, 0.0000, 0.5000).

***

No. 5
First-principles (PBE) data for Hf2ScN3 after structural relaxation, as listed in the Alexandria database.

As for the energy above the most stable polymorph in this dataset: 27 meV per atom. The raw formation energy comes out at -1522 meV/atom.

The space group is C2/m (No. 12) and the conventional cell measures 12.365, 3.175 and 7.793 Å, with angles of 90.00, 108.82 and 90.00 degrees. The distinct sites, in fractional coordinates, are Hf at (0.165, 0.000, 0.333), Hf at (0.165, 0.500, 0.833), Sc at (0.000, 0.000, 0.500), Sc at (0.000, 0.500, 0.000), N at (0.029, 0.000, 0.804), N at (0.142, 0.500, 0.528) and N at (0.196, 0.500, 0.140).

***

No. 6
First-principles (PBE) data for SrY2Rh after structural relaxation, as listed in the Alexandria database.

The energy relative to the elements is -0.9 eV/f.u. As for the energy above the most stable polymorph in this dataset: 124 meV per atom.

The space group is P4mm (No. 99) and the conventional cell measures 3.591, 3.591 and 9.223 Å, with angles of 90.00, 90.00 and 90.00 degrees. The distinct sites, in fractional coordinates, are Sr at (0.000, 0.000, 0.000), Y at (0.000, 0.000, 0.629), Y at (0.500, 0.500, 0.341) and Rh at (0.500, 0.500, 0.775).

***

No. 7
First-principles (PBE) data for Dy4Bi3Sb after structural relaxation, as listed in the Alexandria database.

The raw formation energy comes out at -929 meV/atom.

The space group is Pm-3m (No. 221) and the conventional cell measures 6.291, 6.291 and 6.291 Å, with angles of 90.00, 90.00 and 90.00 degrees. The distinct sites, in fractional coordinates, are Dy at (0.000, 0.000, 0.000), Dy at (0.000, 0.500, 0.500), Bi at (0.000, 0.000, 0.500) and Sb at (0.500, 0.500, 0.500).

***

No. 8
First-principles (PBE) data for Cs2ZrSCl6 after structural relaxation, as listed in the Alexandria database.

The raw formation energy comes out at -1467 meV/atom.

The space group is I4/mmm (No. 139) and the conventional cell measures 7.838, 7.838 and 12.084 Å, with angles of 90.00, 90.00 and 90.00 degrees. The distinct sites, in fractional coordinates, are Cs at (0.000, 0.500, 0.250), Zr at (0.000, 0.000, 0.000), S at (0.000, 0.000, 0.500), Cl at (0.000, 0.000, 0.206) and Cl at (0.225, 0.225, 0.000).

***

No. 9
First-principles (PBE) data for TlSn after structural relaxation, as listed in the Alexandria database.

The energy relative to the elements is 0.1 eV/f.u.

The space group is P4/mmm (No. 123) and the conventional cell measures 3.409, 3.409 and 5.051 Å, with angles of 90.00, 90.00 and 90.00 degrees. The distinct sites, in fractional coordinates, are Tl at (0.000, 0.000, 0.000) and Sn at (0.500, 0.500, 0.500).

***

No. 10
First-principles (PBE) data for TcF after structural relaxation, as listed in the Alexandria database.

As for the energy above the most stable polymorph in this dataset: 0 meV per atom. The raw formation energy comes out at -1037 meV/atom.

The space group is P4/m (No. 83) and the conventional cell measures 9.131, 9.131 and 2.752 Å, with angles of 90.00, 90.00 and 90.00 degrees. The distinct sites, in fractional coordinates, are Tc at (0.089, 0.615, 0.000), Tc at (0.154, 0.392, 0.500), F at (0.143, 0.797, 0.500) and F at (0.335, 0.342, 0.000).

***

No. 11
First-principles (PBE) data for MnZnIr2 after structural relaxation, as listed in the Alexandria database.

The energy relative to the elements is 0.6 eV/f.u.

The space group is Cmm2 (No. 35) and the conventional cell measures 2.763, 4.675 and 8.915 Å, with angles of 90.00, 90.00 and 90.00 degrees. The distinct sites, in fractional coordinates, are Mn at (0.000, 0.000, 0.000), Zn at (0.000, 0.500, 0.246), Ir at (0.000, 0.000, 0.495) and Ir at (0.000, 0.500, 0.761).

***

No. 12
First-principles (PBE) data for YGe3Ru3 after structural relaxation, as listed in the Alexandria database.

The energy relative to the elements is 0.7 eV/f.u. As for the energy above the most stable polymorph in this dataset: 341 meV per atom.

The space group is Pm-3n (No. 223) and the conventional cell measures 6.670, 6.670 and 6.670 Å, with angles of 90.00, 90.00 and 90.00 degrees. The distinct sites, in fractional coordinates, are Y at (0.000, 0.000, 0.000), Ge at (0.000, 0.250, 0.500) and Ru at (0.000, 0.500, 0.250).

***

What are the D(E_F) values for these records? In order: 0.879, 0.635, 0.000, 0.298, 0.184, 1.078, 0.059, 0.000, 0.369, 0.645, 1.208, 0.365 states/eV per atom.